Record 1
AcGdLuMg, relaxed, DFT PBE; DFT formation energy = 0.03 eV per atom; calculated volume = 32.37 Å³ per atom; E = -6.04 eV per atom; N(E_F) = 21.3 states/eV per cell; space-group type = F-43m
1.0
8.0307 0.0000 0.0000
0.0000 8.0307 0.0000
0.0000 0.0000 8.0307
Ac Gd Lu Mg
4 4 4 4
direct
0.0000 0.0000 0.0000
0.0000 0.5000 0.5000
0.5000 0.0000 0.5000
0.5000 0.5000 0.0000
0.0000 0.0000 0.5000
0.0000 0.5000 0.0000
0.5000 0.0000 0.0000
0.5000 0.5000 0.5000
0.2500 0.2500 0.2500
0.2500 0.7500 0.7500
0.7500 0.2500 0.7500
0.7500 0.7500 0.2500
0.2500 0.2500 0.7500
0.2500 0.7500 0.2500
0.7500 0.2500 0.2500
0.7500 0.7500 0.7500

=====

Record 2
ZnReNi, relaxed, DFT PBE; DFT formation energy = 0.52 eV per atom; calculated volume = 14.84 Å³ per atom; E = -5.98 eV per atom; N(E_F) = 19.6 states/eV per cell; space-group type = F-43m; E above lowest polymorph = 0.524 eV/atom
1.0
5.6257 0.0000 0.0000
0.0000 5.6257 0.0000
0.0000 0.0000 5.6257
Zn Re Ni
4 4 4
direct
0.0000 0.0000 0.0000
0.0000 0.5000 0.5000
0.5000 0.0000 0.5000
0.5000 0.5000 0.0000
0.0000 0.0000 0.5000
0.0000 0.5000 0.0000
0.5000 0.0000 0.0000
0.5000 0.5000 0.5000
0.2500 0.2500 0.2500
0.2500 0.7500 0.7500
0.7500 0.2500 0.7500
0.7500 0.7500 0.2500

=====

Record 3
RePb2, relaxed, DFT PBE; DFT formation energy = 0.56 eV per atom; calculated volume = 26.24 Å³ per atom; E = -6.06 eV per atom; N(E_F) = 5.3 states/eV per cell; space-group type = Cm; E above lowest polymorph = 0.003 eV/atom
1.0
10.2732 0.0000 0.0000
0.0000 3.4150 0.0000
-2.1473 0.0000 8.9766
Re Pb
4 8
direct
0.0000 0.0000 0.0000
0.0617 0.5000 0.1817
0.5000 0.5000 0.0000
0.5617 0.0000 0.1817
0.0969 0.0000 0.4953
0.2126 0.5000 0.9114
0.3133 0.0000 0.2700
0.4054 0.0000 0.6842
0.5969 0.5000 0.4953
0.7126 0.0000 0.9114
0.8133 0.5000 0.2700
0.9054 0.5000 0.6842

=====

Record 4
HgHRh2, relaxed, DFT PBE; calculated volume = 13.31 Å³ per atom; E = -4.44 eV per atom; N(E_F) = 4.4 states/eV per cell; space-group type = Pm; E above lowest polymorph = 0.016 eV/atom
1.0
2.8599 0.0000 0.0000
0.0000 2.8793 0.0000
-1.4274 0.0000 6.4635
Hg H Rh
1 1 2
direct
0.0000 0.0000 0.0000
0.2503 0.5000 0.3811
0.3372 0.5000 0.6772
0.6951 0.0000 0.3893

=====

Record 5
Ba4CdGaHg2, relaxed, DFT PBE; DFT formation energy = -0.42 eV per atom; calculated volume = 36.97 Å³ per atom; E = -1.95 eV per atom; N(E_F) = 6.3 states/eV per cell; space-group type = R-3m
1.0
2.9677 1.7134 9.6933
-2.9677 1.7134 9.6933
0.0000 -3.4269 9.6933
Ba Cd Ga Hg
4 1 1 2
direct
0.1220 0.1220 0.1220
0.3722 0.3722 0.3722
0.6278 0.6278 0.6278
0.8780 0.8780 0.8780
0.5000 0.5000 0.5000
0.0000 0.0000 0.0000
0.2486 0.2486 0.2486
0.7514 0.7514 0.7514